Dy2ThHg4 | PBE-GGA | optimized geometry

a b c (Å): 5.212 5.212 7.340
angles (deg): 90.00 90.00 90.00
Fractional positions:
Dy 0.000 0.000 0.000
Dy 0.500 0.500 0.500
Th 0.000 0.000 0.500
Hg 0.000 0.500 0.229
Hg 0.000 0.500 0.771
Hg 0.500 0.000 0.229
Hg 0.500 0.000 0.771

Fermi-level density of states: 0.861 states/eV per atom
Total magnetic moment: 0.000 μB/atom
Space group: No. 123
Energy of formation from the pure elements: -0.241 eV per atom
VASP energy: -19.52 eV/cell